# Tl3InHg3 | the Alexandria database | GGA-PBE | optimized geometry
# DFT formation energy in meV/atom: 23
# Volume in A^3/atom: 30.39
data_Tl3InHg3
_chemical_formula_sum 'Tl6 In2 Hg6'
_cell_length_a 7.3457
_cell_length_b 7.3457
_cell_length_c 8.4286
_cell_angle_alpha 92.50
_cell_angle_beta 92.50
_cell_angle_gamma 110.26
_symmetry_space_group_name_H-M 'P 1'
_symmetry_Int_Tables_number 1
loop_
_symmetry_equiv_pos_as_xyz
'x,y,z'
loop_
_atom_site_label
_atom_site_type_symbol
_atom_site_fract_x
_atom_site_fract_y
_atom_site_fract_z
Hg1 Hg 0.9975 0.4976 0.7478
Tl1 Tl 0.8547 0.1453 0.5000
In1 In 0.7564 0.7564 0.7630
Hg2 Hg 0.4976 0.9975 0.7478
Tl2 Tl 0.6319 0.6319 0.3717
Hg3 Hg 0.0025 0.5024 0.2522
Hg4 Hg 0.1228 0.1228 0.8799
Tl3 Tl 0.3681 0.3681 0.6283
In2 In 0.2436 0.2436 0.2370
Tl4 Tl 0.3495 0.6505 0.0000
Tl5 Tl 0.6505 0.3495 0.0000
Hg5 Hg 0.8772 0.8772 0.1201
Tl6 Tl 0.1453 0.8547 0.5000
Hg6 Hg 0.5024 0.0025 0.2522